Compound: BaLiCl2
Source: Alexandria
Functional: PBE
Structure: relaxed

The space group is R3m (No. 160, hexagonal axes) and the conventional cell measures 3.9357, 3.9357 and 23.0018 Å, with angles of 90.00, 90.00 and 120.00 degrees. Symmetry generates all atoms from Ba at (0.0000, 0.0000, 0.0000), Li at (0.0000, 0.0000, 0.1686), Cl at (0.0000, 0.0000, 0.5619) and Cl at (0.0000, 0.0000, 0.7716).

The size of the total moment is 0.11 μB/f.u. The calculation puts the total energy at -3.577 eV/atom. The uncorrected formation energy is -1.694 eV per atom. The distance to the lowest polymorph of the same formula is 3.09 kJ/mol of atoms.